[1]
The following is a DFT calculation (PBE) of a relaxed TbDyTl crystal.

Unit cell a=7.3464 b=7.3464 c=7.3464 alpha=90.00 beta=90.00 gamma=90.00
Space group F-43m (No. 216)
Asymmetric unit:
Tb1 0.0000 0.0000 0.0000 x4
Dy1 0.0000 0.0000 0.5000 x4
Tl1 0.2500 0.2500 0.2500 x4

Computed properties:
energy above the lowest structure with this stoichiometry = 224.0 meV per atom
crystal system = cubic



[2]
The following is a DFT calculation (PBE) of a relaxed Tb2Dy6Tl crystal.

Unit cell a=6.2079 b=8.9564 c=10.9266 alpha=108.41 beta=106.48 gamma=90.04
Space group P-1 (No. 2)
Asymmetric unit:
Tb1 0.0543 0.3046 0.4454 x2
Tb2 0.3913 0.8042 0.4452 x2
Dy1 0.0411 0.4715 0.7830 x2
Dy2 0.1738 0.0832 0.6747 x2
Dy3 0.2588 0.0285 0.2175 x2
Dy4 0.2749 0.8650 0.8932 x2
Dy5 0.3833 0.6360 0.1069 x2
Dy6 0.4993 0.4165 0.3246 x2
Tl1 0.1654 0.2500 0.9998 x2

Computed properties:
energy above the lowest structure with this stoichiometry = 0.0 meV per atom
crystal system = triclinic



Short version: DFT formation energy = -0.04 -0.06 eV per atom, in the order given.
Short version: electronic total energy = -3.9022 -4.4202 eV/atom, in the order given.